(1)
Here is ScP2RuS after structural relaxation from Alexandria via LeMat-Bulk. Energies are from PBE.

Cell lengths 4.4223, 4.4223, 5.1144 Å; angles 90.00, 90.00, 90.00 degrees
Fractional positions:
1 Sc 0.5000 0.5000 0.5000
2 Ru 0.0000 0.0000 0.0000
3 S 0.0000 0.0000 0.5000
4 P 0.0000 0.5000 0.0000
5 P 0.5000 0.0000 0.0000

Calculated values
ΔE to the lowest computed polymorph = 0.0000 eV per atom
formation energy without anion corrections = 0.031 eV per atom
E = -6.080 eV per atom

(2)
Here is ScP2RuS after structural relaxation from Alexandria via LeMat-Bulk. Energies are from PBE.

Cell lengths 4.8915, 4.8915, 4.7391 Å; angles 90.00, 90.00, 90.00 degrees
Fractional positions:
1 Sc 0.0000 0.0000 0.0000
2 Ru 0.5000 0.5000 0.5000
3 S 0.0000 0.0000 0.5000
4 P 0.0000 0.5000 0.0000
5 P 0.5000 0.0000 0.0000

Calculated values
ΔE to the lowest computed polymorph = 0.8273 eV per atom
formation energy without anion corrections = 0.858 eV per atom
E = -5.253 eV per atom

(3)
Here is SiPRuS2 after structural relaxation from Alexandria via LeMat-Bulk. Energies are from PBE.

Cell lengths 4.7715, 4.7715, 4.3590 Å; angles 90.00, 90.00, 90.00 degrees
Fractional positions:
1 Ru 0.0000 0.0000 0.0000
2 S 0.0000 0.5000 0.0000
3 S 0.5000 0.0000 0.0000
4 Si 0.5000 0.5000 0.5000
5 P 0.0000 0.0000 0.5000

Calculated values
ΔE to the lowest computed polymorph = 0.0000 eV per atom
formation energy without anion corrections = 0.713 eV per atom
E = -4.960 eV per atom

(4)
Here is SiP2RuS after structural relaxation from Alexandria via LeMat-Bulk. Energies are from PBE.

Cell lengths 4.4105, 4.4105, 5.1919 Å; angles 90.00, 90.00, 90.00 degrees
Fractional positions:
1 Ru 0.0000 0.0000 0.0000
2 S 0.0000 0.0000 0.5000
3 Si 0.5000 0.5000 0.5000
4 P 0.0000 0.5000 0.0000
5 P 0.5000 0.0000 0.0000

Calculated values
ΔE to the lowest computed polymorph = 0.0000 eV per atom
formation energy without anion corrections = 0.728 eV per atom
E = -5.201 eV per atom

(5)
Here is SiPRuS2 after structural relaxation from Alexandria via LeMat-Bulk. Energies are from PBE.

Cell lengths 4.3612, 4.3612, 4.4068 Å; angles 90.00, 90.00, 90.00 degrees
Fractional positions:
1 Ru 0.5000 0.5000 0.5000
2 S 0.0000 0.5000 0.0000
3 S 0.5000 0.0000 0.0000
4 Si 0.0000 0.0000 0.0000
5 P 0.0000 0.0000 0.5000

Calculated values
ΔE to the lowest computed polymorph = 0.1628 eV per atom
formation energy without anion corrections = 0.875 eV per atom
E = -4.797 eV per atom

(6)
Here is SnP2RuS after structural relaxation from Alexandria via LeMat-Bulk. Energies are from PBE.

Cell lengths 4.8588, 4.8588, 4.8538 Å; angles 90.00, 90.00, 90.00 degrees
Fractional positions:
1 Ru 0.5000 0.5000 0.5000
2 S 0.0000 0.0000 0.5000
3 Sn 0.0000 0.0000 0.0000
4 P 0.0000 0.5000 0.0000
5 P 0.5000 0.0000 0.0000

Calculated values
ΔE to the lowest computed polymorph = 1.2594 eV per atom
formation energy without anion corrections = 1.579 eV per atom
E = -4.066 eV per atom